DFT (GGA-PBE) results for a relaxed structure of K2TmCuI6.

- DOS at the Fermi energy: 0.00 states/eV/cell
- E_form (uncorrected): -11.2 eV/f.u.

Cell: 8.4797 9.4038 13.4242 Å, 90.00 128.76 90.00°
With the nearest neighbours (Å) after each atom.
Fractional positions:
K (0.2171, 0.1017, 0.2459)  8 I 3.54-3.85
K (0.2171, 0.3983, 0.7459)  8 I 3.54-3.85
K (0.7829, 0.6017, 0.2541)  8 I 3.54-3.85
K (0.7829, 0.8983, 0.7541)  8 I 3.54-3.85
Tm (0.0000, 0.0000, 0.5000)  6 I 2.97-3.10
Tm (0.0000, 0.5000, 0.0000)  6 I 2.97-3.10
Cu (0.5000, 0.0000, 0.0000)  2 I 2.48
Cu (0.5000, 0.5000, 0.5000)  2 I 2.48
I (0.1102, 0.2236, 0.9487)  1 Tm 2.98
I (0.1102, 0.2764, 0.4487)  1 Tm 2.98
I (0.2444, 0.6578, 0.9472)  1 Tm 2.97
I (0.2444, 0.8422, 0.4472)  1 Tm 2.97
I (0.3904, 0.0303, 0.7811)  1 Cu 2.48
I (0.3904, 0.4697, 0.2811)  1 Cu 2.48
I (0.6096, 0.5303, 0.7189)  1 Cu 2.48
I (0.6096, 0.9697, 0.2189)  1 Cu 2.48
I (0.7556, 0.1578, 0.5528)  1 Tm 2.97
I (0.7556, 0.3422, 0.0528)  1 Tm 2.97
I (0.8898, 0.7236, 0.5513)  1 Tm 2.98
I (0.8898, 0.7764, 0.0513)  1 Tm 2.98